No. 1
A relaxed NbRu3Pt crystal. Source: the Alexandria database, functional PBE.

Geometry as POSCAR:
```
NbRu3Pt
1.0
4.668 0.000 0.000
0.000 4.668 0.000
0.000 0.000 4.668
Ru Nb Pt
3 1 1
Cartesian
0.000 2.334 0.000
0.000 0.000 2.334
2.334 0.000 0.000
2.334 2.334 2.334
0.000 0.000 0.000
```

Computed properties:
- Energy relative to the elements: 1.8974 eV/atom
- Space group: No. 221


No. 2
A relaxed GaSi2Sn2 crystal. Source: the Alexandria database, functional PBE.

Geometry as POSCAR:
```
GaSi2Sn2
1.0
7.270 0.000 0.000
0.000 7.270 0.000
0.000 0.000 4.092
Si Sn Ga
4 4 2
Cartesian
2.765 6.400 0.000
6.400 4.505 0.000
4.505 0.870 0.000
0.870 2.765 0.000
1.321 4.956 2.046
4.956 5.950 2.046
5.950 2.315 2.046
2.315 1.321 2.046
0.000 0.000 0.000
3.635 3.635 0.000
```

Computed properties:
- Formation energy from raw total energies: 0.31 eV/atom
- Space group: No. 127